Material: DyRe2
Method: DFT, GGA-PBE
State: optimized geometry

It has space group Fd-3m (No. 227, origin choice 2), with a = 12.610 Å, b = 12.610 Å, c = 12.610 Å, α = 90.00°, β = 90.00° and γ = 90.00°. Symmetry generates all atoms from Dy at (0.125, 0.125, 0.125) and Re at (0.000, 0.000, 0.000).

As for the formation enthalpy at 0 K: 4.3098 eV/atom.